[1]
## ZrCo2Ir (PBE-GGA)

Data for crystalline ZrCo2Ir at its relaxed geometry.

The structure in POSCAR format:
```
ZrCo2Ir
1.0
9.082 0.003 0.002
8.660 2.737 0.002
8.660 1.337 2.388
Co Ir Zr
2 1 1
direct
0.993 0.993 0.993
0.507 0.507 0.507
0.250 0.250 0.250
0.750 0.750 0.750
```

Results
E_tot: -7.63 eV per atom
DFT formation energy: 0.275 eV/atom

[2]
## ZrCo2Ir (PBE-GGA)

Data for crystalline ZrCo2Ir at its relaxed geometry.

The structure in POSCAR format:
```
ZrCo2Ir
1.0
4.378 0.000 0.000
2.189 3.792 0.000
2.189 1.264 3.575
Co Ir Zr
2 1 1
direct
0.000 0.000 0.000
0.250 0.250 0.250
0.500 0.500 0.500
0.750 0.750 0.750
```

Results
E_tot: -8.03 eV per atom
DFT formation energy: -0.124 eV/atom

[3]
## ZrCo2Ir (PBE-GGA)

Data for crystalline ZrCo2Ir at its relaxed geometry.

The structure in POSCAR format:
```
ZrCo2Ir
1.0
-1.859 -2.668 -2.400
2.476 -0.408 -1.464
2.449 -3.793 2.319
Co Ir Zr
2 1 1
direct
0.000 0.185 0.004
0.500 0.056 0.261
0.000 0.465 0.445
0.500 0.793 0.789
```

Results
E_tot: -8.06 eV per atom
DFT formation energy: -0.158 eV/atom

[4]
## ZrCoIr2 (PBE-GGA)

Data for crystalline ZrCoIr2 at its relaxed geometry.

The structure in POSCAR format:
```
ZrCoIr2
1.0
-0.923 1.705 -2.675
-2.932 -1.522 0.042
-2.100 4.138 3.363
Co Ir Zr
1 2 1
direct
0.500 0.500 0.792
0.000 0.000 0.962
0.500 0.500 0.242
0.000 0.000 0.504
```

Results
E_tot: -8.50 eV per atom
DFT formation energy: -0.158 eV/atom

[5]
## ZrCoIr2 (PBE-GGA)

Data for crystalline ZrCoIr2 at its relaxed geometry.

The structure in POSCAR format:
```
ZrCoIr2
1.0
-1.095 -0.743 3.659
-3.307 -1.577 -1.310
1.746 -9.080 0.748
Ir Co Zr
4 2 2
direct
0.578 0.125 0.250
0.172 0.625 0.250
0.375 0.422 0.750
0.875 0.828 0.750
0.500 0.500 0.000
0.250 0.750 0.500
0.000 0.000 0.000
0.750 0.250 0.500
```

Results
E_tot: -8.32 eV per atom
DFT formation energy: 0.027 eV/atom

[6]
## Zr3Co2Ir (PBE-GGA)

Data for crystalline Zr3Co2Ir at its relaxed geometry.

The structure in POSCAR format:
```
Zr3Co2Ir
1.0
3.289 0.000 0.000
0.000 4.331 -1.434
0.000 -0.023 7.189
Zr Co Ir
3 2 1
direct
0.500 0.500 0.000
0.500 0.830 0.659
0.500 0.170 0.341
0.000 0.334 0.669
0.000 0.666 0.331
0.000 0.000 0.000
```

Results
E_tot: -8.58 eV per atom
DFT formation energy: -0.461 eV/atom

[7]
## ZrCoIr2 (PBE-GGA)

Data for crystalline ZrCoIr2 at its relaxed geometry.

The structure in POSCAR format:
```
ZrCoIr2
1.0
-1.402 -2.383 -0.602
2.456 -1.381 -0.254
-0.216 -1.744 7.400
Co Ir Zr
1 2 1
direct
0.500 0.500 0.773
0.000 0.000 0.983
0.500 0.500 0.231
0.000 0.000 0.513
```

Results
E_tot: -8.44 eV per atom
DFT formation energy: -0.093 eV/atom

[8]
## ZrCo2Ir (PBE-GGA)

Data for crystalline ZrCo2Ir at its relaxed geometry.

The structure in POSCAR format:
```
ZrCo2Ir
1.0
-0.760 -2.420 2.677
-0.615 -1.920 -1.910
4.640 -3.597 -1.935
Co Ir Zr
2 1 1
direct
0.000 0.969 0.031
0.000 0.531 0.469
0.500 0.250 0.250
0.500 0.750 0.750
```

Results
E_tot: -8.04 eV per atom
DFT formation energy: -0.137 eV/atom

[9]
## ZrCo2Ir (PBE-GGA)

Data for crystalline ZrCo2Ir at its relaxed geometry.

The structure in POSCAR format:
```
ZrCo2Ir
1.0
4.714 0.066 0.008
1.479 4.477 -0.008
-3.101 -2.265 2.735
Co Ir Zr
2 1 1
direct
0.000 0.000 0.000
0.500 0.500 0.000
0.750 0.250 0.500
0.250 0.750 0.500
```

Results
E_tot: -8.16 eV per atom
DFT formation energy: -0.254 eV/atom

[10]
## ZrCo2Ir (PBE-GGA)

Data for crystalline ZrCo2Ir at its relaxed geometry.

The structure in POSCAR format:
```
ZrCo2Ir
1.0
2.974 0.000 0.000
0.000 3.517 0.000
0.000 0.000 5.614
Co Ir Zr
2 1 1
direct
0.000 0.000 0.034
0.500 0.500 0.231
0.000 0.000 0.481
0.500 0.500 0.754
```

Results
E_tot: -8.09 eV per atom
DFT formation energy: -0.181 eV/atom

[11]
## Zr3Co8Ir (PBE-GGA)

Data for crystalline Zr3Co8Ir at its relaxed geometry.

The structure in POSCAR format:
```
Zr3Co8Ir
1.0
0.458 4.301 2.211
0.127 0.237 4.850
8.111 0.757 2.183
Zr Co Ir
3 8 1
direct
0.377 0.377 0.870
0.991 0.991 0.026
0.507 0.507 0.480
0.940 0.436 0.188
0.439 0.938 0.684
0.436 0.436 0.188
0.938 0.938 0.684
0.188 0.188 0.437
0.688 0.688 0.936
0.436 0.940 0.188
0.938 0.439 0.684
0.871 0.871 0.387
```

Results
E_tot: -7.90 eV per atom
DFT formation energy: -0.288 eV/atom

[12]
## ZrCo2Ir (PBE-GGA)

Data for crystalline ZrCo2Ir at its relaxed geometry.

The structure in POSCAR format:
```
ZrCo2Ir
1.0
4.765 -0.011 -0.036
1.675 4.460 0.036
-3.200 -2.253 2.717
Co Ir Zr
2 1 1
direct
0.000 0.000 0.000
0.750 0.250 0.500
0.500 0.500 0.000
0.250 0.750 0.500
```

Results
E_tot: -8.15 eV per atom
DFT formation energy: -0.247 eV/atom

[13]
## Zr6Co2Ir (PBE-GGA)

Data for crystalline Zr6Co2Ir at its relaxed geometry.

The structure in POSCAR format:
```
Zr6Co2Ir
1.0
-4.059 5.930 -2.638
-3.765 -6.569 -1.125
1.167 0.581 7.543
Zr Co Ir
12 4 2
direct
0.530 0.817 0.713
0.470 0.183 0.287
0.103 0.817 0.287
0.897 0.183 0.713
0.808 0.051 0.242
0.192 0.949 0.758
0.192 0.434 0.242
0.808 0.566 0.758
0.700 0.328 0.028
0.300 0.672 0.972
0.300 0.328 0.628
0.700 0.672 0.372
0.500 0.132 0.632
0.500 0.868 0.368
0.653 0.653 0.000
0.347 0.347 0.000
0.000 0.500 0.500
0.000 0.000 0.000
```

Results
E_tot: -8.64 eV per atom
DFT formation energy: -0.376 eV/atom

[14]
## ZrCo2Ir (PBE-GGA)

Data for crystalline ZrCo2Ir at its relaxed geometry.

The structure in POSCAR format:
```
ZrCo2Ir
1.0
4.388 0.059 0.000
-0.928 4.289 0.000
0.000 0.000 2.985
Co Ir Zr
2 1 1
direct
0.000 0.000 0.000
0.500 0.500 0.000
0.500 0.000 0.500
0.000 0.500 0.500
```

Results
E_tot: -8.06 eV per atom
DFT formation energy: -0.158 eV/atom

[15]
## ZrCoIr2 (PBE-GGA)

Data for crystalline ZrCoIr2 at its relaxed geometry.

The structure in POSCAR format:
```
ZrCoIr2
1.0
4.787 0.007 -0.003
3.915 2.754 -0.003
0.914 0.290 4.655
Co Ir Zr
1 2 1
direct
0.250 0.250 0.250
0.993 0.993 0.021
0.507 0.507 0.479
0.750 0.750 0.750
```

Results
E_tot: -8.63 eV per atom
DFT formation energy: -0.284 eV/atom

[16]
## Zr6Co5Ir (PBE-GGA)

Data for crystalline Zr6Co5Ir at its relaxed geometry.

The structure in POSCAR format:
```
Zr6Co5Ir
1.0
-2.060 -2.262 -3.344
-3.621 -3.162 4.370
-3.679 6.017 1.305
Ir Co Zr
1 5 6
direct
0.000 0.000 0.000
0.665 0.500 0.330
0.333 0.000 0.666
0.000 0.500 0.000
0.667 0.000 0.334
0.335 0.500 0.670
0.831 0.748 0.663
0.831 0.252 0.663
0.500 0.255 0.000
0.500 0.745 0.000
0.169 0.748 0.337
0.169 0.252 0.337
```

Results
E_tot: -8.34 eV per atom
DFT formation energy: -0.371 eV/atom

[17]
## ZrCo2Ir (PBE-GGA)

Data for crystalline ZrCo2Ir at its relaxed geometry.

The structure in POSCAR format:
```
ZrCo2Ir
1.0
3.830 0.000 0.000
0.000 3.861 0.000
0.000 0.000 3.861
Co Ir Zr
2 1 1
direct
0.000 0.000 0.500
0.000 0.500 0.000
0.500 0.500 0.500
0.500 0.000 0.000
```

Results
E_tot: -8.24 eV per atom
DFT formation energy: -0.331 eV/atom

[18]
## Zr2Co2Ir (PBE-GGA)

Data for crystalline Zr2Co2Ir at its relaxed geometry.

The structure in POSCAR format:
```
Zr2Co2Ir
1.0
3.201 0.000 0.000
0.000 3.201 0.000
1.601 1.601 8.145
Ir Co Zr
1 2 2
direct
0.000 0.000 0.000
0.750 0.250 0.500
0.250 0.750 0.500
0.391 0.391 0.219
0.609 0.609 0.781
```

Results
E_tot: -8.24 eV per atom
DFT formation energy: -0.204 eV/atom

[19]
## Zr2CoIr2 (PBE-GGA)

Data for crystalline Zr2CoIr2 at its relaxed geometry.

The structure in POSCAR format:
```
Zr2CoIr2
1.0
-0.737 4.158 -5.023
-6.503 -0.094 0.876
0.300 3.153 2.566
Ir Co Zr
4 2 4
direct
0.363 0.863 0.000
0.863 0.637 0.000
0.637 0.137 0.000
0.137 0.363 0.000
0.000 0.000 0.000
0.500 0.500 0.000
0.177 0.677 0.500
0.677 0.823 0.500
0.823 0.323 0.500
0.323 0.177 0.500
```

Results
E_tot: -8.82 eV per atom
DFT formation energy: -0.433 eV/atom

[20]
## ZrCo2Ir (PBE-GGA)

Data for crystalline ZrCo2Ir at its relaxed geometry.

The structure in POSCAR format:
```
ZrCo2Ir
1.0
-1.507 3.367 -0.899
-3.394 -1.196 1.208
-0.588 4.118 8.389
Ir Co Zr
2 4 2
direct
0.000 0.000 0.000
0.750 0.250 0.500
0.696 0.125 0.250
0.054 0.625 0.250
0.375 0.304 0.750
0.875 0.946 0.750
0.500 0.500 0.000
0.250 0.750 0.500
```

Results
E_tot: -7.77 eV per atom
DFT formation energy: 0.140 eV/atom

[21]
## ZrCoIr (PBE-GGA)

Data for crystalline ZrCoIr at its relaxed geometry.

The structure in POSCAR format:
```
ZrCoIr
1.0
0.235 -0.983 4.852
-0.305 -4.807 1.572
4.193 -2.119 1.899
Zr Co Ir
2 2 2
direct
0.879 0.371 0.371
0.121 0.629 0.629
0.000 0.000 0.000
0.500 0.000 0.000
0.500 0.500 0.000
0.500 0.000 0.500
```

Results
E_tot: -8.74 eV per atom
DFT formation energy: -0.572 eV/atom

[22]
## Zr4Co3Ir (PBE-GGA)

Data for crystalline Zr4Co3Ir at its relaxed geometry.

The structure in POSCAR format:
```
Zr4Co3Ir
1.0
-1.175 0.049 3.063
-3.664 -2.310 -1.369
4.252 -7.787 1.757
Ir Co Zr
1 3 4
direct
0.500 0.500 0.000
0.500 0.000 0.251
0.500 0.500 0.500
0.500 0.000 0.749
0.000 0.000 0.500
0.000 0.500 0.742
0.000 0.000 0.000
0.000 0.500 0.258
```

Results
E_tot: -8.46 eV per atom
DFT formation energy: -0.413 eV/atom

[23]
## ZrCo2Ir (PBE-GGA)

Data for crystalline ZrCo2Ir at its relaxed geometry.

The structure in POSCAR format:
```
ZrCo2Ir
1.0
8.873 -0.033 -0.020
8.444 2.725 -0.020
8.444 1.313 2.389
Co Ir Zr
2 1 1
direct
0.990 0.990 0.990
0.254 0.254 0.254
0.508 0.508 0.508
0.748 0.748 0.748
```

Results
E_tot: -7.72 eV per atom
DFT formation energy: 0.183 eV/atom

[24]
## Zr2Co2Ir (PBE-GGA)

Data for crystalline Zr2Co2Ir at its relaxed geometry.

The structure in POSCAR format:
```
Zr2Co2Ir
1.0
6.709 0.000 0.000
0.000 6.709 0.000
0.000 0.000 3.498
Ir Co Zr
2 4 4
direct
0.000 0.000 0.000
0.500 0.500 0.000
0.381 0.881 0.000
0.881 0.619 0.000
0.619 0.119 0.000
0.119 0.381 0.000
0.184 0.684 0.500
0.684 0.816 0.500
0.816 0.316 0.500
0.316 0.184 0.500
```

Results
E_tot: -8.49 eV per atom
DFT formation energy: -0.453 eV/atom

[25]
## ZrCoIr2 (PBE-GGA)

Data for crystalline ZrCoIr2 at its relaxed geometry.

The structure in POSCAR format:
```
ZrCoIr2
1.0
-0.897 0.152 -4.248
2.696 -0.449 -0.585
0.425 -5.234 -0.277
Co Ir Zr
1 2 1
direct
0.500 0.750 0.750
0.000 0.895 0.973
0.000 0.605 0.527
0.500 0.250 0.250
```

Results
E_tot: -8.59 eV per atom
DFT formation energy: -0.246 eV/atom

[26]
## Zr2Co2Ir (PBE-GGA)

Data for crystalline Zr2Co2Ir at its relaxed geometry.

The structure in POSCAR format:
```
Zr2Co2Ir
1.0
-5.694 4.047 -1.933
-1.644 -4.791 -5.185
-1.793 -1.561 2.011
Ir Co Zr
2 4 4
direct
0.000 0.000 0.000
0.500 0.500 0.000
0.133 0.633 0.500
0.633 0.867 0.500
0.867 0.367 0.500
0.367 0.133 0.500
0.337 0.837 0.000
0.837 0.663 0.000
0.663 0.163 0.000
0.163 0.337 0.000
```

Results
E_tot: -8.06 eV per atom
DFT formation energy: -0.026 eV/atom

[27]
## ZrCoIr2 (PBE-GGA)

Data for crystalline ZrCoIr2 at its relaxed geometry.

The structure in POSCAR format:
```
ZrCoIr2
1.0
9.219 -0.012 -0.007
8.798 2.754 -0.007
8.798 1.339 2.407
Co Ir Zr
1 2 1
direct
0.744 0.744 0.744
0.004 0.004 0.004
0.255 0.255 0.255
0.498 0.498 0.498
```

Results
E_tot: -8.22 eV per atom
DFT formation energy: 0.120 eV/atom